1.
Here is a relaxed LaHg2Pd2 crystal from the Alexandria database. Energies are from GGA-PBE.

Geometry as POSCAR:
```
LaHg2Pd2
1.0
4.724 0.000 0.000
0.000 5.251 -1.503
0.000 -0.030 9.299
Hg Pd La
4 4 2
direct
0.750 0.768 0.362
0.250 0.619 0.941
0.250 0.232 0.638
0.750 0.381 0.059
0.250 0.664 0.513
0.750 0.894 0.076
0.250 0.106 0.924
0.750 0.336 0.487
0.250 0.149 0.271
0.750 0.851 0.729
```

- energy of formation (eV per atom) = -0.529
- DOS(E_F) (states/eV per cell) = 4.8

---

2.
Here is a relaxed Cs4Ag3F10 crystal from the Alexandria database. Energies are from GGA-PBE.

Geometry as POSCAR:
```
Cs4Ag3F10
1.0
-1.965 2.105 -3.481
-4.001 -1.700 1.230
0.315 12.904 10.558
F Cs Ag
10 4 3
direct
0.205 0.205 0.410
0.069 0.069 0.137
0.500 0.000 0.000
0.000 0.500 0.000
0.137 0.637 0.273
0.863 0.363 0.727
0.795 0.795 0.590
0.931 0.931 0.863
0.637 0.137 0.273
0.363 0.863 0.727
0.432 0.432 0.864
0.298 0.298 0.596
0.568 0.568 0.136
0.702 0.702 0.404
0.863 0.863 0.726
0.137 0.137 0.274
0.000 0.000 0.000
```

- raw formation energy (meV/atom) = -1971.6
- DOS(E_F) (states/eV per cell) = 6.7

---

3.
Here is a relaxed ThScFeNi crystal from the Alexandria database. Energies are from GGA-PBE.

Geometry as POSCAR:
```
ThScFeNi
1.0
4.708 0.000 0.000
2.354 4.077 0.000
2.354 1.359 3.844
Ni Sc Th Fe
1 1 1 1
direct
0.250 0.250 0.250
0.500 0.500 0.500
0.000 0.000 0.000
0.750 0.750 0.750
```

- energy of formation (eV per atom) = -0.171
- DOS(E_F) (states/eV per cell) = 3.6

---

4.
Here is a relaxed Sm2HoAu3 crystal from the Alexandria database. Energies are from GGA-PBE.

Geometry as POSCAR:
```
Sm2HoAu3
1.0
5.150 0.000 0.000
-2.575 4.460 0.000
0.000 0.000 6.343
Sm Au Ho
2 3 1
direct
0.333 0.667 0.669
0.667 0.333 0.331
0.333 0.667 0.159
0.000 0.000 0.500
0.667 0.333 0.841
0.000 0.000 0.000
```

- energy of formation (eV per atom) = -0.819
- DOS(E_F) (states/eV per cell) = 3.2

---

5.
Here is a relaxed NaMn3Br9 crystal from the Alexandria database. Energies are from GGA-PBE.

Geometry as POSCAR:
```
NaMn3Br9
1.0
-5.368 -1.021 7.107
0.973 -9.878 4.969
5.382 3.038 10.156
Br Mn Na
18 6 2
direct
0.982 0.554 0.240
0.282 0.992 0.141
0.578 0.226 0.533
0.224 0.054 0.740
0.768 0.038 0.753
0.906 0.899 0.347
0.585 0.492 0.641
0.846 0.991 0.056
0.441 0.538 0.253
0.897 0.271 0.145
0.107 0.491 0.556
0.103 0.718 0.817
0.397 0.313 0.922
0.363 0.218 0.317
0.687 0.771 0.645
0.368 0.813 0.422
0.849 0.399 0.847
0.663 0.726 0.033
0.804 0.542 0.680
0.431 0.766 0.219
0.017 0.949 0.833
0.974 0.042 0.180
0.200 0.449 0.333
0.584 0.266 0.719
0.020 0.498 0.992
0.489 0.998 0.492
```

- raw formation energy (meV/atom) = -740.4
- DOS(E_F) (states/eV per cell) = 3.1

---

6.
Here is a relaxed Er5Tm3Sb8 crystal from the Alexandria database. Energies are from GGA-PBE.

Geometry as POSCAR:
```
Er5Tm3Sb8
1.0
-4.901 6.888 2.029
0.769 3.732 7.814
3.639 7.862 0.723
Tm Sb Er
3 8 5
direct
0.000 0.500 0.500
0.000 0.000 0.500
0.500 0.000 0.500
0.249 0.750 0.251
0.250 0.250 0.251
0.250 0.250 0.749
0.750 0.750 0.749
0.250 0.751 0.749
0.750 0.750 0.251
0.750 0.249 0.251
0.751 0.250 0.749
0.500 0.500 0.000
0.500 0.000 0.000
0.000 0.000 0.000
0.500 0.500 0.500
0.000 0.500 0.000
```

- raw formation energy (meV/atom) = -1083.7
- DOS(E_F) (states/eV per cell) = 2.8

---

What did the sixth record say?
Here is a relaxed Er5Tm3Sb8 crystal from the Alexandria database. Energies are from GGA-PBE.

Geometry as POSCAR:
```
Er5Tm3Sb8
1.0
-4.901 6.888 2.029
0.769 3.732 7.814
3.639 7.862 0.723
Tm Sb Er
3 8 5
direct
0.000 0.500 0.500
0.000 0.000 0.500
0.500 0.000 0.500
0.249 0.750 0.251
0.250 0.250 0.251
0.250 0.250 0.749
0.750 0.750 0.749
0.250 0.751 0.749
0.750 0.750 0.251
0.750 0.249 0.251
0.751 0.250 0.749
0.500 0.500 0.000
0.500 0.000 0.000
0.000 0.000 0.000
0.500 0.500 0.500
0.000 0.500 0.000
```

- raw formation energy (meV/atom) = -1083.7
- DOS(E_F) (states/eV per cell) = 2.8